(1)
{"formula": "TbPm2Er", "functional": "PBE", "state": "relaxed", "cell": [[3.595, 0.000, 0.000], [0.000, 3.595, 0.000], [0.000, 0.000, 10.139]], "species": ["Tb", "Pm", "Pm", "Er"], "fractional_positions": [[0.000, 0.000, 0.000], [0.500, 0.500, 0.252], [0.500, 0.500, 0.748], [0.000, 0.000, 0.500]], "e_tot_ry_per_atom": -0.3421, "delta_e_f_ev_per_atom": 0.019, "mass_density_g_cm3": 7.81, "e_above_lowest_polymorph_ev_per_fu": 0.020}

---

(2)
{"formula": "K4Pa3RhSe8", "functional": "PBE", "state": "relaxed", "cell": [[4.114, 2.375, 7.804], [-4.114, 2.375, 7.804], [0.000, -4.750, 7.804]], "species": ["K", "K", "K", "K", "Pa", "Pa", "Pa", "Rh", "Se", "Se", "Se", "Se", "Se", "Se", "Se", "Se"], "fractional_positions": [[0.000, 0.000, 0.000], [0.000, 0.500, 0.500], [0.500, 0.000, 0.500], [0.500, 0.500, 0.000], [0.000, 0.000, 0.500], [0.000, 0.500, 0.000], [0.500, 0.000, 0.000], [0.500, 0.500, 0.500], [0.238, 0.238, 0.238], [0.242, 0.730, 0.730], [0.270, 0.270, 0.758], [0.270, 0.758, 0.270], [0.730, 0.242, 0.730], [0.730, 0.730, 0.242], [0.758, 0.270, 0.270], [0.762, 0.762, 0.762]], "formation_energy_uncorrected_ev_per_atom": -1.16, "e_tot_ry_per_atom": -0.3979, "mass_density_g_cm3": 5.75}

---

(3)
{"formula": "TiHg2Pd2", "functional": "PBE", "state": "relaxed", "cell": [[6.739, 0.000, 0.000], [0.000, 6.739, 0.000], [0.000, 0.000, 4.129]], "species": ["Ti", "Ti", "Hg", "Hg", "Hg", "Hg", "Pd", "Pd", "Pd", "Pd"], "fractional_positions": [[0.000, 0.000, 0.000], [0.500, 0.500, 0.000], [0.166, 0.334, 0.500], [0.334, 0.834, 0.500], [0.666, 0.166, 0.500], [0.834, 0.666, 0.500], [0.142, 0.642, 0.000], [0.358, 0.142, 0.000], [0.642, 0.858, 0.000], [0.858, 0.358, 0.000]], "e_tot_ry_per_atom": -0.2860, "delta_e_f_ev_per_atom": -0.115, "mass_density_g_cm3": 11.72, "e_above_lowest_polymorph_ev_per_fu": 0.000}